VASP calculation (GGA+U) on a relaxed Sr3Mn2GaO8 crystal.

POSCAR file:
```
Sr3Mn2GaO8
1.0
5.5829 0.0000 0.0000
-2.7915 4.8349 0.0000
0.0000 0.0000 7.2661
Sr Mn Ga O
3 2 1 8
Cartesian
0.0000 0.0000 0.0000 Sr
0.0000 3.2233 4.6188 Sr
2.7915 1.6116 2.6473 Sr
0.0000 3.2233 1.4919 Mn
2.7915 1.6116 5.7742 Mn
0.0000 0.0000 3.6331 Ga
0.0000 1.5734 2.3927 O
-1.4289 4.0483 2.3927 O
1.3626 0.7867 4.8734 O
0.0000 3.2233 6.9587 O
2.7915 1.6116 0.3074 O
1.4289 4.0483 2.3927 O
4.2203 0.7867 4.8734 O
2.7915 3.2616 4.8734 O
```

## Properties
- total energy (eV/atom) = -6.46
- total magnetization (μB per cell) = 7.00